K4Hg: optimized geometry, PBE.

E above lowest polymorph = 0.168 eV/atom
electronic total energy = -8.6 eV per cell
V = 327 Å³/f.u.
ρ = 1.815 Mg/m³

Structure (CIF):
```
data_K4Hg
_chemical_formula_sum 'K8 Hg2'
_symmetry_space_group_name_H-M 'I 4/m m m'
_symmetry_Int_Tables_number 139
_symmetry_space_group_name_Hall '-I 4 2'
_cell_length_a 5.357
_cell_length_b 5.357
_cell_length_c 22.757
_cell_angle_alpha 90.00
_cell_angle_beta 90.00
_cell_angle_gamma 90.00
loop_
_atom_site_label
_atom_site_fract_x
_atom_site_fract_y
_atom_site_fract_z
K1 0.000 0.000 0.085
K2 0.000 0.500 0.250
Hg1 0.000 0.000 0.500
```